Compound: La3CoBi
Source: Alexandria via LeMat-Bulk
Functional: PBE
Structure: optimized geometry

Cell: 9.163 6.692 11.797 Å, 90.00 121.91 90.00°
Space group P2_1/c (No. 14)
Asymmetric unit:
1 La 0.078 0.107 0.346
2 La 0.207 0.611 0.541
3 La 0.352 0.186 0.765
4 Co 0.057 0.191 0.570
5 Bi 0.406 0.711 0.876

Summary:
N(E_F) = 0.4944 states/eV per atom
Energy above the lowest structure with this stoichiometry = 0.103 eV/atom
Calculated formation energy = -0.3920 eV/atom
Total magnetic moment = 0.00 μB/cell



Compound: La3CoBi
Source: Alexandria via LeMat-Bulk
Functional: PBE
Structure: optimized geometry

Cell: 8.9861 8.9861 12.3701 Å, 90.00 90.00 120.00°
Space group R-3c (No. 167, hexagonal axes)
Asymmetric unit:
1 La 0.0000 0.2915 0.2500
2 Co 0.0000 0.0000 0.2500
3 Bi 0.0000 0.0000 0.0000

Summary:
N(E_F) = 1.2035 states/eV per atom
Energy above the lowest structure with this stoichiometry = 0.300 eV/atom
Calculated formation energy = -0.1952 eV/atom
Total magnetic moment = 0.00 μB/cell



Compound: La7Co2Bi3
Source: Alexandria via LeMat-Bulk
Functional: PBE
Structure: optimized geometry

Cell: 5.302 27.581 5.064 Å, 90.00 90.00 90.00°
Space group Cmmm (No. 65)
Asymmetric unit:
1 La 0.000 0.000 0.000
2 La 0.000 0.100 0.500
3 La 0.000 0.205 0.000
4 La 0.000 0.399 0.000
5 Co 0.000 0.101 0.000
6 Bi 0.000 0.310 0.500
7 Bi 0.000 0.500 0.500

Summary:
N(E_F) = 0.8275 states/eV per atom
Calculated formation energy = -0.5641 eV/atom
Total magnetic moment = 0.18 μB/cell



Compound: La3CoBi
Source: Alexandria via LeMat-Bulk
Functional: PBE
Structure: optimized geometry

Cell: 6.706 17.345 5.884 Å, 90.00 90.00 90.00°
Space group Cmcm (No. 63)
Asymmetric unit:
1 La 0.000 0.000 0.000
2 La 0.232 0.350 0.250
3 Co 0.000 0.468 0.250
4 Bi 0.000 0.175 0.250

Summary:
N(E_F) = 1.1937 states/eV per atom
Energy above the lowest structure with this stoichiometry = 0.579 eV/atom
Calculated formation energy = 0.0837 eV/atom
Total magnetic moment = 0.00 μB/cell



Compound: La3CoBi
Source: Alexandria via LeMat-Bulk
Functional: PBE
Structure: optimized geometry

Cell: 13.082 14.323 6.782 Å, 90.00 96.95 90.00°
Space group C2/c (No. 15)
Asymmetric unit:
1 La 0.098 0.142 0.068
2 La 0.119 0.318 0.561
3 La 0.141 0.435 0.061
4 Co 0.000 0.311 0.250
5 Co 0.000 0.483 0.750
6 Bi 0.151 0.089 0.574

Summary:
N(E_F) = 0.4757 states/eV per atom
Energy above the lowest structure with this stoichiometry = 0.079 eV/atom
Calculated formation energy = -0.4155 eV/atom
Total magnetic moment = 0.00 μB/cell



Compound: La5CoBi2
Source: Alexandria via LeMat-Bulk
Functional: PBE
Structure: optimized geometry

Cell: 8.434 12.821 4.761 Å, 90.00 90.00 90.00°
Space group Pbam (No. 55)
Asymmetric unit:
1 La 0.000 0.000 0.000
2 La 0.113 0.316 0.000
3 La 0.197 0.557 0.500
4 Co 0.000 0.500 0.000
5 Bi 0.090 0.823 0.500

Summary:
N(E_F) = 0.7990 states/eV per atom
Energy above the lowest structure with this stoichiometry = 0.000 eV/atom
Calculated formation energy = -0.6336 eV/atom
Total magnetic moment = 0.00 μB/cell



Compound: La3CoBi
Source: Alexandria via LeMat-Bulk
Functional: PBE
Structure: optimized geometry

Cell: 7.2363 7.2363 20.8384 Å, 90.00 90.00 120.00°
Space group R-3 (No. 148, hexagonal axes)
Asymmetric unit:
1 La 0.0049 0.5059 0.4133
2 Co 0.0000 0.0000 0.1742
3 Bi 0.0000 0.0000 0.3957

Summary:
N(E_F) = 0.8585 states/eV per atom
Energy above the lowest structure with this stoichiometry = 0.141 eV/atom
Calculated formation energy = -0.3540 eV/atom
Total magnetic moment = 0.00 μB/cell



Compound: La3CoBi
Source: Alexandria via LeMat-Bulk
Functional: PBE
Structure: optimized geometry

Cell: 5.340 5.340 5.340 Å, 90.00 90.00 90.00°
Space group Pm-3m (No. 221)
Asymmetric unit:
1 La 0.000 0.000 0.500
2 Co 0.000 0.000 0.000
3 Bi 0.500 0.500 0.500

Summary:
N(E_F) = 0.7633 states/eV per atom
Energy above the lowest structure with this stoichiometry = 0.003 eV/atom
Calculated formation energy = -0.4915 eV/atom
Total magnetic moment = 0.00 μB/cell



Compound: LaCo2Bi2
Source: Alexandria via LeMat-Bulk
Functional: PBE
Structure: optimized geometry

Cell: 4.819 4.819 9.791 Å, 90.00 90.00 90.00°
Space group I4/mmm (No. 139)
Asymmetric unit:
1 La 0.000 0.000 0.000
2 Co 0.000 0.000 0.385
3 Bi 0.000 0.500 0.250

Summary:
N(E_F) = 0.6974 states/eV per atom
Energy above the lowest structure with this stoichiometry = 0.000 eV/atom
Calculated formation energy = -0.0949 eV/atom
Total magnetic moment = 5.21 μB/cell



Compound: La3CoBi
Source: Alexandria via LeMat-Bulk
Functional: PBE
Structure: optimized geometry

Cell: 4.831 4.831 8.398 Å, 90.00 90.00 90.00°
Space group P4mm (No. 99)
Asymmetric unit:
1 La 0.000 0.000 0.000
2 La 0.000 0.500 0.351
3 Co 0.500 0.500 0.178
4 Bi 0.000 0.000 0.627

Summary:
N(E_F) = 1.5811 states/eV per atom
Energy above the lowest structure with this stoichiometry = 0.617 eV/atom
Calculated formation energy = 0.1221 eV/atom
Total magnetic moment = 0.04 μB/cell



Compound: La3CoBi
Source: Alexandria via LeMat-Bulk
Functional: PBE
Structure: optimized geometry

Cell: 5.0834 5.0834 16.1348 Å, 90.00 90.00 120.00°
Space group P6_3/mmc (No. 194)
Asymmetric unit:
1 La 0.0000 0.0000 0.2500
2 La 0.3333 0.6667 0.0970
3 Co 0.3333 0.6667 0.2500
4 Bi 0.0000 0.0000 0.0000

Summary:
N(E_F) = 1.4228 states/eV per atom
Energy above the lowest structure with this stoichiometry = 0.268 eV/atom
Calculated formation energy = -0.2273 eV/atom
Total magnetic moment = 0.00 μB/cell



Compound: La6CoBi3
Source: Alexandria via LeMat-Bulk
Functional: PBE
Structure: optimized geometry

Cell: 12.486 15.201 7.728 Å, 90.00 90.00 90.00°
Space group Cmc2_1 (No. 36)
Asymmetric unit:
1 La 0.000 0.009 0.000
2 La 0.000 0.232 0.546
3 La 0.149 0.242 0.095
4 La 0.157 0.469 0.556
5 Co 0.000 0.144 0.246
6 Bi 0.000 0.383 0.862
7 Bi 0.183 0.110 0.753

Summary:
N(E_F) = 1.2278 states/eV per atom
Calculated formation energy = -0.4697 eV/atom
Total magnetic moment = 7.77 μB/cell